1.
Zn2Sn2I: optimized geometry, PBE.

Properties
- total DFT energy (no corrections) (eV/atom) = -2.287
- energy above the most stable polymorph in this dataset (eV per atom) = 0.000
- N(E_F) (states/eV per atom) = 0.601
- raw formation energy (meV per atom) = 134
- calculated density (g/cm³) = 6.1

Cell: 4.7299 4.7299 12.0448 Å, 90.00 90.00 90.00°
Last column: nearest neighbours and their distance in Å.
Space group I4/mmm (No. 139)
Symmetry-distinct sites (fractional):
Zn: 0.0000 0.5000 0.2500 x4  4 Sn 2.82
Sn: 0.0000 0.0000 0.1219 x4  4 Zn 2.82, 1 Sn 2.94
I: 0.0000 0.0000 0.5000 x2  8 Sn 3.65, 8 Zn 3.83

---

2.
ZnSnI: optimized geometry, PBE.

Properties
- total DFT energy (no corrections) (eV/atom) = -2.268
- N(E_F) (states/eV per atom) = 0.207
- raw formation energy (meV per atom) = 7
- calculated density (g/cm³) = 5.6

Cell: 12.0082 3.7639 8.1058 Å, 90.00 90.00 90.00°
Last column: nearest neighbours and their distance in Å.
Space group Amm2 (No. 38)
Symmetry-distinct sites (fractional):
Zn: 0.1164 0.0000 0.0000 x4  3 Sn 2.77-2.87, 1 Zn 2.79, 2 I 3.00
Sn: 0.0000 0.0000 0.7047 x2  6 Zn 2.77-2.87
Sn: 0.5000 0.0000 0.6940 x2  2 I 3.07
I: 0.3075 0.0000 0.4442 x4  2 Zn 3.00, 1 Sn 3.07

---

3.
ZnSn2I6: optimized geometry, PBE.

Properties
- total DFT energy (no corrections) (eV/atom) = -2.557
- raw formation energy (meV per atom) = -493
- calculated density (g/cm³) = 4.5

Cell: 13.9867 19.3505 6.4667 Å, 90.00 116.33 90.00°
Last column: nearest neighbours and their distance in Å.
Space group C2/c (No. 15)
Symmetry-distinct sites (fractional):
Zn: 0.0000 0.1793 0.2500 x4  4 I 2.63-2.67
Sn: 0.1425 0.4037 0.6129 x8  4 I 3.04-3.39
I: 0.1152 0.0924 0.1291 x8  1 Zn 2.67
I: 0.1267 0.2473 0.6250 x8  1 Zn 2.63
I: 0.1299 0.4169 0.1233 x8  3 Sn 3.10-3.43

---

4.
ZnSnI4: optimized geometry, PBE.

Properties
- total DFT energy (no corrections) (eV/atom) = -2.371
- energy above the most stable polymorph in this dataset (eV per atom) = 0.000
- raw formation energy (meV per atom) = -458
- calculated density (g/cm³) = 4.6

Cell: 7.7195 4.2932 16.7106 Å, 90.00 116.53 90.00°
Last column: nearest neighbours and their distance in Å.
Space group P2_1/c (No. 14)
Symmetry-distinct sites (fractional):
Zn: 0.0000 0.0000 0.0000 x2  6 I 2.88-2.99
Sn: 0.5000 0.0000 0.5000 x2  6 I 3.19-3.20
I: 0.1824 0.0002 0.8824 x4  1 Zn 2.88, 2 Sn 3.19
I: 0.2531 0.0156 0.6107 x4  2 Zn 2.89-2.99, 1 Sn 3.20

---

5.
ZnSn2I: optimized geometry, PBE.

Properties
- total DFT energy (no corrections) (eV/atom) = -2.414
- energy above the most stable polymorph in this dataset (eV per atom) = 0.123
- N(E_F) (states/eV per atom) = 0.604
- raw formation energy (meV per atom) = 293
- calculated density (g/cm³) = 6.4

Cell: 7.6311 7.6311 7.6311 Å, 90.00 90.00 90.00°
Last column: nearest neighbours and their distance in Å.
Space group Fm-3m (No. 225)
Symmetry-distinct sites (fractional):
Zn: 0.0000 0.0000 0.0000 x4  8 Sn 3.30
Sn: 0.2500 0.2500 0.2500 x8  4 I 3.30, 4 Zn 3.30
I: 0.0000 0.0000 0.5000 x4  8 Sn 3.30

---

6.
ZnSnI6: optimized geometry, PBE.

Properties
- total DFT energy (no corrections) (eV/atom) = -2.106
- raw formation energy (meV per atom) = -284
- calculated density (g/cm³) = 3.9

Cell: 8.5660 13.0867 8.1935 Å, 90.00 118.39 90.00°
Last column: nearest neighbours and their distance in Å.
Space group C2/m (No. 12)
Symmetry-distinct sites (fractional):
Zn: 0.0000 0.0000 0.0000 x2  4 I 2.73
Sn: 0.0000 0.0000 0.5000 x2  6 I 2.80-2.98
I: 0.0010 0.1517 0.2300 x8  1 Zn 2.73, 1 Sn 2.98
I: 0.1282 0.5000 0.3146 x4  1 Sn 2.80